[1]
Entry from the Alexandria database: CrCdMo2 after structural relaxation (PBE).

Cell lengths 2.927, 2.927, 7.524 Å; angles 90.00, 90.00, 90.00 degrees
Fractional positions:
1 Cd 0.500 0.500 0.250
2 Cr 0.500 0.500 0.750
3 Mo 0.000 0.000 0.951
4 Mo 0.000 0.000 0.549

Results
DFT formation energy, eV/atom: 0.34
Symmetry: P4/mmm, No. 123
Crystal system: tetragonal



[2]
Entry from the Alexandria database: SrGa2ReO8 after structural relaxation (PBE).

Cell lengths 4.795, 4.514, 6.644 Å; angles 89.98, 89.99, 88.84 degrees
Site moments in Bohr magnetons follow the coordinates.
Fractional positions:
1 Ga 0.500 0.500 0.239  0.00
2 Ga 0.500 0.500 0.761  0.00
3 O 0.169 0.762 0.802  0.00
4 O 0.680 0.737 0.000  0.00
5 O 0.831 0.238 0.198  0.00
6 O 0.553 0.735 0.500  0.10
7 O 0.447 0.265 0.500  0.10
8 O 0.169 0.762 0.198  0.00
9 O 0.831 0.238 0.802  0.00
10 O 0.320 0.263 0.000  0.00
11 Re 0.000 0.000 0.000  0.00
12 Sr 0.000 0.000 0.500  0.00

Results
Symmetry: P2/m, No. 10
Raw formation energy, kJ/mol of atoms: -159.1
Crystal system: monoclinic



[3]
Entry from the Alexandria database: Th3Ag after structural relaxation (PBE).

Cell lengths 4.896, 4.896, 4.896 Å; angles 90.00, 90.00, 90.00 degrees
Fractional positions:
1 Th 0.500 0.500 0.000
2 Th 0.500 0.000 0.500
3 Th 0.000 0.500 0.500
4 Ag 0.000 0.000 0.000

Results
DFT formation energy, eV/atom: 0.11
Symmetry: Pm-3m, No. 221
Crystal system: cubic



[4]
Entry from the Alexandria database: KTaGa2 after structural relaxation (PBE).

Cell lengths 5.614, 5.614, 9.382 Å; angles 72.59, 72.59, 90.00 degrees
Fractional positions:
1 Ga 0.792 0.125 0.250
2 Ga 0.875 0.042 0.750
3 Ga 0.958 0.625 0.250
4 Ga 0.375 0.208 0.750
5 Ta 0.750 0.250 0.500
6 Ta 0.000 0.000 0.000
7 K 0.500 0.500 0.000
8 K 0.250 0.750 0.500

Results
DFT formation energy, eV/atom: 0.79
Symmetry: I-42d, No. 122
Crystal system: tetragonal



no.,energy (eV/f.u.)
1,-30.8
2,-79.6
3,-24.7
4,-15.8